(1)
# Pm2DyAg, relaxed, DFT PBE
# - V (Å³ per atom) = 30.3
# - ΔE to the lowest computed polymorph (eV per formula unit) = 0.494
data_Pm2DyAg
_chemical_formula_sum 'Pm2 Dy1 Ag1'
_symmetry_space_group_name_H-M 'P 1'
_symmetry_Int_Tables_number 1
_cell_length_a 3.638
_cell_length_b 3.638
_cell_length_c 10.782
_cell_angle_alpha 80.35
_cell_angle_beta 80.35
_cell_angle_gamma 60.08
loop_
_symmetry_equiv_pos_as_xyz
'x,y,z'
loop_
_atom_site_label
_atom_site_fract_x
_atom_site_fract_y
_atom_site_fract_z
Pm1 0.076 0.076 0.773
Pm2 0.257 0.257 0.227
Dy1 0.500 0.500 0.501
Ag1 0.667 0.667 0.998

=====

(2)
# TbCu3Sn3, relaxed, DFT PBE
# - V (Å³ per atom) = 25.2
# - ΔE to the lowest computed polymorph (eV per formula unit) = 2.399
data_TbCu3Sn3
_chemical_formula_sum 'Tb2 Cu6 Sn6'
_symmetry_space_group_name_H-M 'P 1'
_symmetry_Int_Tables_number 1
_cell_length_a 7.065
_cell_length_b 7.065
_cell_length_c 7.065
_cell_angle_alpha 90.00
_cell_angle_beta 90.00
_cell_angle_gamma 90.00
loop_
_symmetry_equiv_pos_as_xyz
'x,y,z'
loop_
_atom_site_label
_atom_site_fract_x
_atom_site_fract_y
_atom_site_fract_z
Tb1 0.500 0.500 0.500
Tb2 0.000 0.000 0.000
Sn1 0.000 0.250 0.500
Sn2 0.000 0.750 0.500
Sn3 0.500 0.000 0.750
Sn4 0.750 0.500 0.000
Sn5 0.500 0.000 0.250
Sn6 0.250 0.500 0.000
Cu1 0.250 0.000 0.500
Cu2 0.000 0.500 0.250
Cu3 0.500 0.750 0.000
Cu4 0.750 0.000 0.500
Cu5 0.000 0.500 0.750
Cu6 0.500 0.250 0.000

=====

(3)
# CaIn2Ni, relaxed, DFT PBE
# - V (Å³ per atom) = 24.0
data_CaIn2Ni
_chemical_formula_sum 'Ca1 In2 Ni1'
_symmetry_space_group_name_H-M 'P 1'
_symmetry_Int_Tables_number 1
_cell_length_a 4.446
_cell_length_b 4.446
_cell_length_c 6.169
_cell_angle_alpha 68.95
_cell_angle_beta 68.95
_cell_angle_gamma 59.94
loop_
_symmetry_equiv_pos_as_xyz
'x,y,z'
loop_
_atom_site_label
_atom_site_fract_x
_atom_site_fract_y
_atom_site_fract_z
Ni1 0.250 0.250 0.250
Ca1 0.750 0.750 0.750
In1 0.964 0.964 0.108
In2 0.536 0.536 0.392

=====

(4)
# MgCr2In, relaxed, DFT PBE
# - V (Å³ per atom) = 18.1
data_MgCr2In
_chemical_formula_sum 'Mg1 Cr2 In1'
_symmetry_space_group_name_H-M 'P 1'
_symmetry_Int_Tables_number 1
_cell_length_a 4.440
_cell_length_b 4.440
_cell_length_c 3.678
_cell_angle_alpha 90.00
_cell_angle_beta 90.00
_cell_angle_gamma 90.00
loop_
_symmetry_equiv_pos_as_xyz
'x,y,z'
loop_
_atom_site_label
_atom_site_fract_x
_atom_site_fract_y
_atom_site_fract_z
Cr1 0.000 0.000 0.000
Cr2 0.500 0.500 0.000
In1 0.500 0.000 0.500
Mg1 0.000 0.500 0.500

=====

Number 1: DFT total energy -4.24 eV/atom, E_form 0.002 eV per atom, total magnetization 0.0 μB per cell. Number 2: DFT total energy -3.87 eV/atom, E_form 0.266 eV per atom, total magnetization 0.0 μB per cell. Number 3: DFT total energy -3.51 eV/atom, E_form -0.200 eV per atom, total magnetization 0.0 μB per cell. Number 4: DFT total energy -5.50 eV/atom, E_form 0.399 eV per atom, total magnetization 7.1 μB per cell.